The following is a DFT calculation (PBE-GGA) of a geometry-optimized AlIr2W structure.

Lattice parameters (Å, degrees): 4.390 4.390 4.390 60.00 60.00 60.00
Sites, in units of the cell vectors:
Al (0.500, 0.500, 0.500)
W (0.250, 0.250, 0.250)
Ir (0.000, 0.000, 0.000)
Ir (0.750, 0.750, 0.750)

Results
* calculated volume: 59.8 Å³/cell
* uncorrected energy: -8.649 eV/atom